# Ba3In3Hg2

Ba3In3Hg2 after structural relaxation (PBE-GGA, Alexandria).

abc: 5.2159 12.2887 17.4871
angles: 90.00 90.00 90.00
Space group Cmcm (No. 63)
Unique sites:
Ba  0.0000  0.1024  0.1061 x8
Ba  0.0000  0.3807  0.2500 x4
In  0.0000  0.3281  0.7500 x4
In  0.0000  0.3877  0.0367 x8
Hg  0.0000  0.1967  0.6013 x8

Results
DOS at the Fermi energy = 7.8 states/eV/f.u.
formation energy = -443 meV/atom
crystal system = orthorhombic